(1)
Y5Ho4Tm2 | PBE | relaxed

POSCAR file:
```
Y5Ho4Tm2
1.0
-5.4524 -2.1421 -3.1147
-2.8123 -7.7876 3.2124
-6.4969 -3.7758 6.9034
Y Ho Tm
5 4 2
Cartesian
-7.6053 -5.9138 6.6077 Y
-7.1562 -7.7917 0.3934 Y
-4.6546 -5.7817 5.0579 Y
-10.1978 -6.9323 5.1267 Y
-4.5637 -6.7732 1.8744 Y
-7.0456 -8.4279 3.9972 Ho
-7.7159 -5.2775 3.0039 Ho
-11.2928 -9.9566 5.4171 Ho
-3.4687 -3.7489 1.5840 Ho
-8.1621 -10.0126 7.0414 Tm
-6.5994 -3.6929 -0.0403 Tm
```

Total magnetic moment, μB/cell: 0.00
DOS at the Fermi energy, states/eV per cell: 19.20
Calculated total energy, Ha/atom: -0.192


(2)
Zn2FeIr | PBE | relaxed

POSCAR file:
```
Zn2FeIr
1.0
-2.9299 -0.1647 2.4676
-1.9049 -2.1925 -2.4082
1.5145 -3.0662 1.5936
Zn Ir Fe
2 1 1
Cartesian
0.0000 0.0000 0.0000 Zn
-0.1952 -2.6294 -0.4073 Zn
-0.7077 -1.6155 2.0306 Ir
-2.4174 -1.1786 0.0297 Fe
```

Total magnetic moment, μB/cell: 2.90
DOS at the Fermi energy, states/eV per cell: 2.49
Calculated total energy, Ha/atom: -0.185


Repeat the second record exactly.
Zn2FeIr | PBE | relaxed

POSCAR file:
```
Zn2FeIr
1.0
-2.9299 -0.1647 2.4676
-1.9049 -2.1925 -2.4082
1.5145 -3.0662 1.5936
Zn Ir Fe
2 1 1
Cartesian
0.0000 0.0000 0.0000 Zn
-0.1952 -2.6294 -0.4073 Zn
-0.7077 -1.6155 2.0306 Ir
-2.4174 -1.1786 0.0297 Fe
```

Total magnetic moment, μB/cell: 2.90
DOS at the Fermi energy, states/eV per cell: 2.49
Calculated total energy, Ha/atom: -0.185


> DOS at the Fermi energy of number 2 (Zn2FeIr)?

2.49 states/eV per cell


> The lowest calculated total energy belongs to which entry?

Y5Ho4Tm2